# CoNi2F6 PBE+U optimized geometry
# E	-4.44	eV per atom
# size of the total moment	21.000	μB/cell
data_CoNi2F6
_chemical_formula_sum 'Co3 Ni6 F18'
_space_group_name_H-M_alt 'R -3'
_space_group_IT_number 148
_space_group_name_Hall '-R 3'
_cell_length_a 5.2197
_cell_length_b 5.2197
_cell_length_c 15.3503
_cell_angle_alpha 90.00
_cell_angle_beta 90.00
_cell_angle_gamma 120.00
loop_
_atom_site_label
_atom_site_fract_x
_atom_site_fract_y
_atom_site_fract_z
Co1 0.0000 0.0000 0.0000
Ni1 0.0000 0.0000 0.1826
F1 0.0235 0.7175 0.9096